Arrangement i

Below is NaHf2Tl after structural relaxation, with properties calculated at the GGA-PBE level.

Cell: 7.078 7.078 7.078 Å, 90.00 90.00 90.00°
Space group Fm-3m (No. 225)
Asymmetric unit:
Na 0.000 0.000 0.000 (multiplicity 4)
Hf 0.250 0.250 0.250 (multiplicity 8)
Tl 0.000 0.000 0.500 (multiplicity 4)

Properties
magnetic moment = 0.00 Bohr magnetons per cell
density of states at the Fermi level = 21.88 states/eV/cell

***

Arrangement ii

Below is NaHf2Tl after structural relaxation, with properties calculated at the GGA-PBE level.

Cell: 8.290 8.290 5.781 Å, 90.00 90.00 90.00°
Space group I-42d (No. 122)
Asymmetric unit:
Na 0.000 0.000 0.000 (multiplicity 4)
Hf 0.231 0.250 0.625 (multiplicity 8)
Tl 0.000 0.000 0.500 (multiplicity 4)

Properties
magnetic moment = 0.00 Bohr magnetons per cell
density of states at the Fermi level = 17.45 states/eV/cell

***

Stability check: which of them is most stable? arrangement i.